[1]
Compound: TaOsBr2
Source: Alexandria
Functional: GGA-PBE
Structure: optimized geometry

Summary:
formation energy without anion corrections: 0.3957 eV per atom
total magnetization: 1.5 μB/f.u.
E above lowest polymorph: 498 meV per atom

a b c (Å): 3.1793 4.3060 15.3167
angles (deg): 90.00 90.00 90.00
Space group Immm (No. 71)
Unique sites:
1 Ta 0.0000 0.0000 0.0000 (multiplicity 2)
2 Os 0.0000 0.0000 0.5000 (multiplicity 2)
3 Br 0.0000 0.5000 0.3536 (multiplicity 4)


[2]
Compound: TaOs2Br
Source: Alexandria
Functional: GGA-PBE
Structure: optimized geometry

Summary:
formation energy without anion corrections: 0.8215 eV per atom
total magnetization: 0.0 μB/f.u.
E above lowest polymorph: 415 meV per atom

a b c (Å): 2.9809 4.6175 9.4233
angles (deg): 90.00 90.00 90.00
Space group Imm2 (No. 44)
Unique sites:
1 Ta 0.0000 0.0000 0.0000 (multiplicity 2)
2 Os 0.0000 0.0000 0.5239 (multiplicity 2)
3 Os 0.0000 0.5000 0.7834 (multiplicity 2)
4 Br 0.0000 0.5000 0.2672 (multiplicity 2)


[3]
Compound: TaOs2Br
Source: Alexandria
Functional: GGA-PBE
Structure: optimized geometry

Summary:
formation energy without anion corrections: 0.9733 eV per atom
total magnetization: 0.0 μB/f.u.
E above lowest polymorph: 566 meV per atom

a b c (Å): 5.9974 7.2342 3.0294
angles (deg): 90.00 90.00 90.00
Space group Cmmm (No. 65)
Unique sites:
1 Ta 0.0000 0.0000 0.0000 (multiplicity 2)
2 Os 0.2500 0.2500 0.5000 (multiplicity 4)
3 Br 0.0000 0.5000 0.0000 (multiplicity 2)


[4]
Compound: TaOsBr2
Source: Alexandria
Functional: GGA-PBE
Structure: optimized geometry

Summary:
formation energy without anion corrections: 1.2762 eV per atom
total magnetization: 0.0 μB/f.u.
E above lowest polymorph: 1378 meV per atom

a b c (Å): 3.2759 3.2759 6.4059
angles (deg): 90.00 90.00 90.00
Space group P4/mmm (No. 123)
Unique sites:
1 Ta 0.0000 0.0000 0.0000 (multiplicity 1)
2 Os 0.0000 0.0000 0.5000 (multiplicity 1)
3 Br 0.5000 0.5000 0.2443 (multiplicity 2)


[5]
Compound: TaOs2Br
Source: Alexandria
Functional: GGA-PBE
Structure: optimized geometry

Summary:
formation energy without anion corrections: 0.5470 eV per atom
total magnetization: 0.0 μB/f.u.
E above lowest polymorph: 140 meV per atom

a b c (Å): 3.0770 3.0770 25.6384
angles (deg): 90.00 90.00 120.00
Space group R-3m (No. 166, hexagonal axes)
Unique sites:
1 Ta 0.0000 0.0000 0.0000 (multiplicity 3)
2 Os 0.0000 0.0000 0.2569 (multiplicity 6)
3 Br 0.0000 0.0000 0.5000 (multiplicity 3)


[6]
Compound: TaOs2Br
Source: Alexandria
Functional: GGA-PBE
Structure: optimized geometry

Summary:
formation energy without anion corrections: 1.0572 eV per atom
total magnetization: 0.0 μB/f.u.
E above lowest polymorph: 650 meV per atom

a b c (Å): 6.4502 6.4502 6.4502
angles (deg): 90.00 90.00 90.00
Space group Fm-3m (No. 225)
Unique sites:
1 Ta 0.0000 0.0000 0.0000 (multiplicity 4)
2 Os 0.2500 0.2500 0.2500 (multiplicity 8)
3 Br 0.0000 0.0000 0.5000 (multiplicity 4)


[7]
Compound: TaOs2Br
Source: Alexandria
Functional: GGA-PBE
Structure: optimized geometry

Summary:
formation energy without anion corrections: 0.6924 eV per atom
total magnetization: 0.0 μB/f.u.
E above lowest polymorph: 285 meV per atom

a b c (Å): 2.9510 4.6143 9.2730
angles (deg): 90.00 90.00 90.00
Space group Immm (No. 71)
Unique sites:
1 Ta 0.0000 0.0000 0.0000 (multiplicity 2)
2 Os 0.0000 0.5000 0.2345 (multiplicity 4)
3 Br 0.0000 0.0000 0.5000 (multiplicity 2)


[8]
Compound: TaOsBr2
Source: Alexandria
Functional: GGA-PBE
Structure: optimized geometry

Summary:
formation energy without anion corrections: 0.2878 eV per atom
total magnetization: 0.0 μB/f.u.
E above lowest polymorph: 390 meV per atom

a b c (Å): 12.9178 3.2542 5.9476
angles (deg): 90.00 107.11 90.00
Space group Cm (No. 8)
Unique sites:
1 Ta 0.0000 0.0000 0.0000 (multiplicity 2)
2 Os 0.0998 0.5000 0.8492 (multiplicity 2)
3 Br 0.0740 0.5000 0.3941 (multiplicity 2)
4 Br 0.3197 0.0000 0.8758 (multiplicity 2)


[9]
Compound: TaOs2Br
Source: Alexandria
Functional: GGA-PBE
Structure: optimized geometry

Summary:
formation energy without anion corrections: 0.4878 eV per atom
total magnetization: 0.0 μB/f.u.
E above lowest polymorph: 81 meV per atom

a b c (Å): 2.9800 3.6666 7.8825
angles (deg): 90.00 90.00 90.00
Space group Pmm2 (No. 25)
Unique sites:
1 Ta 0.0000 0.0000 0.0000 (multiplicity 1)
2 Os 0.0000 0.0000 0.6800 (multiplicity 1)
3 Os 0.5000 0.5000 0.7955 (multiplicity 1)
4 Br 0.5000 0.5000 0.2321 (multiplicity 1)


[10]
Compound: TaOs2Br
Source: Alexandria
Functional: GGA-PBE
Structure: optimized geometry

Summary:
formation energy without anion corrections: 0.6975 eV per atom
total magnetization: 0.0 μB/f.u.
E above lowest polymorph: 291 meV per atom

a b c (Å): 9.9561 3.0055 4.5532
angles (deg): 90.00 94.80 90.00
Space group Cm (No. 8)
Unique sites:
1 Ta 0.0000 0.0000 0.0000 (multiplicity 2)
2 Os 0.0704 0.5000 0.5699 (multiplicity 2)
3 Os 0.2963 0.0000 0.7183 (multiplicity 2)
4 Br 0.2724 0.5000 0.2539 (multiplicity 2)


[11]
Compound: TaOs2Br
Source: Alexandria
Functional: GGA-PBE
Structure: optimized geometry

Summary:
formation energy without anion corrections: 1.3443 eV per atom
total magnetization: 0.0 μB/f.u.
E above lowest polymorph: 937 meV per atom

a b c (Å): 5.6864 5.6864 11.3825
angles (deg): 90.00 90.00 90.00
Space group I-42d (No. 122)
Unique sites:
1 Ta 0.0000 0.0000 0.0000 (multiplicity 4)
2 Os 0.2350 0.2500 0.6250 (multiplicity 8)
3 Br 0.0000 0.0000 0.5000 (multiplicity 4)


[12]
Compound: TaOsBr2
Source: Alexandria
Functional: GGA-PBE
Structure: optimized geometry

Summary:
formation energy without anion corrections: 0.5878 eV per atom
total magnetization: 0.9 μB/f.u.
E above lowest polymorph: 690 meV per atom

a b c (Å): 3.2788 5.2177 11.8297
angles (deg): 90.00 90.00 90.00
Space group Imm2 (No. 44)
Unique sites:
1 Ta 0.0000 0.0000 0.0000 (multiplicity 2)
2 Os 0.0000 0.5000 0.3519 (multiplicity 2)
3 Br 0.0000 0.0000 0.4983 (multiplicity 2)
4 Br 0.0000 0.5000 0.6962 (multiplicity 2)


[13]
Compound: TaOs2Br
Source: Alexandria
Functional: GGA-PBE
Structure: optimized geometry

Summary:
formation energy without anion corrections: 1.0954 eV per atom
total magnetization: 0.0 μB/f.u.
E above lowest polymorph: 689 meV per atom

a b c (Å): 3.8954 3.8954 8.6372
angles (deg): 90.00 90.00 90.00
Space group I-4m2 (No. 119)
Unique sites:
1 Ta 0.0000 0.0000 0.0000 (multiplicity 2)
2 Os 0.0000 0.0000 0.5000 (multiplicity 2)
3 Os 0.0000 0.5000 0.2500 (multiplicity 2)
4 Br 0.0000 0.5000 0.7500 (multiplicity 2)


[14]
Compound: TaOsBr2
Source: Alexandria
Functional: GGA-PBE
Structure: optimized geometry

Summary:
formation energy without anion corrections: -0.0657 eV per atom
total magnetization: 0.0 μB/f.u.
E above lowest polymorph: 36 meV per atom

a b c (Å): 3.4419 3.4419 28.0804
angles (deg): 90.00 90.00 120.00
Space group R3m (No. 160, hexagonal axes)
Unique sites:
1 Ta 0.0000 0.0000 0.0000 (multiplicity 3)
2 Os 0.0000 0.0000 0.2783 (multiplicity 3)
3 Br 0.0000 0.0000 0.5363 (multiplicity 3)
4 Br 0.0000 0.0000 0.7384 (multiplicity 3)


[15]
Compound: TaOsBr2
Source: Alexandria
Functional: GGA-PBE
Structure: optimized geometry

Summary:
formation energy without anion corrections: 0.1352 eV per atom
total magnetization: 0.0 μB/f.u.
E above lowest polymorph: 237 meV per atom

a b c (Å): 3.1368 3.1368 9.0930
angles (deg): 90.00 90.00 90.00
Space group P4mm (No. 99)
Unique sites:
1 Ta 0.0000 0.0000 0.0000 (multiplicity 1)
2 Os 0.5000 0.5000 0.8379 (multiplicity 1)
3 Br 0.0000 0.0000 0.6113 (multiplicity 1)
4 Br 0.5000 0.5000 0.2155 (multiplicity 1)


These records have raw total energy values of -6.21, -8.17, -8.02, -5.33, -8.45, -7.94, -8.30, -6.32, -8.51, -8.30, -7.65, -6.02, -7.90, -6.67, -6.47 eV/atom, in the order they appear.
These records have D(E_F) values of 0.805, 0.563, 0.741, 1.361, 0.864, 0.521, 0.839, 0.447, 0.504, 0.533, 0.331, 0.229, 1.007, 0.621, 0.704 states/eV/atom, in the order they appear.